MnBeZn2, relaxed, DFT PBE; formation energy = 0.154 eV/atom; DOS at the Fermi energy = 0.61 states/eV per atom
1.0
2.5795 -3.6193 0.0000
2.5795 3.6193 0.0000
0.0000 0.0000 2.6953
Mn Be Zn
1 1 2
direct
0.0000 0.0000 0.0000
0.5000 0.5000 0.0000
0.0000 0.5000 0.5000
0.5000 0.0000 0.5000